VASP calculation (PBE) on crystalline Na3PaZn2Se6 at its relaxed geometry.

Output
magnetization = 0.00 μB/cell
uncorrected formation energy = -12.067 eV/f.u.

abc: 6.8305 6.8305 7.4074
angles: 98.90 98.90 119.89
Fractional positions:
1 Na 0.0000 0.0000 0.0000
2 Na 0.3350 0.6650 0.0000
3 Na 0.6650 0.3350 0.0000
4 Pa 0.5000 0.5000 0.5000
5 Zn 0.1670 0.8330 0.5000
6 Zn 0.8330 0.1670 0.5000
7 Se 0.0858 0.4275 0.2804
8 Se 0.2309 0.2309 0.7183
9 Se 0.4275 0.0858 0.2804
10 Se 0.5725 0.9142 0.7196
11 Se 0.7691 0.7691 0.2817
12 Se 0.9142 0.5725 0.7196